This record from the Alexandria database describes Li5Co2O6 after structural relaxation. The functional is PBE+U.

Values from the calculation:
Volume (Å³/cell): 146.18
Energy above the most stable polymorph in this dataset (meV per atom): 0

Structure (POSCAR):
```
Li5Co2O6
1.0
5.3506 0.0000 0.0000
0.2050 5.5605 0.0000
2.6175 0.0094 4.9133
Li Co O
5 2 6
Direct
0.0000 0.0000 0.0000
0.0114 0.6984 0.6058
0.4767 0.9311 0.6028
0.4920 0.7081 0.9856
0.7364 0.2381 0.6828
0.3343 0.1723 0.2822
0.6726 0.4990 0.3029
0.0976 0.0421 0.6006
0.3165 0.5194 0.3124
0.4004 0.0516 0.9609
0.6557 0.6069 0.6093
0.7009 0.1658 0.3127
0.8812 0.6596 0.0053
```